DFT (PBE-GGA) results for a relaxed structure of LiHfTc.

E above lowest polymorph (eV per atom): 0.0000
Crystal system: cubic

```
data_LiHfTc
_chemical_formula_sum 'Li4 Hf4 Tc4'
_cell_length_a 5.819
_cell_length_b 5.819
_cell_length_c 5.819
_cell_angle_alpha 90.00
_cell_angle_beta 90.00
_cell_angle_gamma 90.00
_symmetry_space_group_name_H-M 'F -4 3 m'
_symmetry_Int_Tables_number 216
_symmetry_space_group_name_Hall 'F -4 2 3'
loop_
_atom_site_label
_atom_site_type_symbol
_atom_site_fract_x
_atom_site_fract_y
_atom_site_fract_z
_atom_site_occupancy
Li1 Li 0.000 0.000 0.000 1
Hf1 Hf 0.250 0.250 0.750 1
Tc1 Tc 0.250 0.250 0.250 1
```

=====

DFT (PBE-GGA) results for a relaxed structure of LiHfTc.

E above lowest polymorph (eV per atom): 0.2651
Crystal system: cubic

```
data_LiHfTc
_chemical_formula_sum 'Li4 Hf4 Tc4'
_cell_length_a 6.146
_cell_length_b 6.146
_cell_length_c 6.146
_cell_angle_alpha 90.00
_cell_angle_beta 90.00
_cell_angle_gamma 90.00
_symmetry_space_group_name_H-M 'F -4 3 m'
_symmetry_Int_Tables_number 216
_symmetry_space_group_name_Hall 'F -4 2 3'
loop_
_atom_site_label
_atom_site_type_symbol
_atom_site_fract_x
_atom_site_fract_y
_atom_site_fract_z
_atom_site_occupancy
Li1 Li 0.000 0.000 0.000 1
Hf1 Hf 0.250 0.250 0.250 1
Tc1 Tc 0.000 0.000 0.500 1
```

=====

In μB/cell, the total magnetic moment values for the records above are, in order, 0.46 0.22.
In eV/f.u., the E values for the records above are, in order, -20.21 -19.42.